1.
4
Lattice="4.300 0.000 0.000 2.127 3.810 0.000 0.010 0.039 5.194" Properties=species:S:1:pos:R:3 comment="Al2TcTe, relaxed, DFT PBE-GGA" m_tot_mub_per_fu=0.000 energy_ev_per_cell=-21.14 mass_density_g_cm3=5.46 space_group="P1 (1)" e_form_raw_ev_per_fu=-0.15 pbc="T T T"
Al 0.000 0.000 0.000
Al 2.133 1.261 1.209
Tc 4.283 2.447 0.556
Te 4.263 3.030 3.157


2.
4
Lattice="0.000 3.262 3.262 3.262 0.000 3.262 3.262 3.262 0.000" Properties=species:S:1:pos:R:3 comment="Al2TcTe, relaxed, DFT PBE-GGA" m_tot_mub_per_fu=0.000 energy_ev_per_cell=-19.78 mass_density_g_cm3=6.69 space_group="F-43m (216)" e_form_raw_ev_per_fu=1.22 pbc="T T T"
Al 0.000 0.000 0.000
Al 1.631 1.631 1.631
Tc 4.892 4.892 4.892
Te 3.262 3.262 3.262


3.
5
Lattice="4.798 0.000 0.000 0.000 4.798 0.000 0.000 0.000 4.798" Properties=species:S:1:pos:R:3 comment="AlTc3Te, relaxed, DFT PBE-GGA" polymorph_energy_mev_per_atom=401.3 m_tot_mub_per_fu=2.216 energy_ev_per_cell=-29.78 mass_density_g_cm3=6.74 space_group="Pm-3m (221)" e_form_raw_ev_per_fu=8.20 pbc="T T T"
Al 0.000 0.000 0.000
Tc 0.000 2.399 2.399
Tc 2.399 0.000 2.399
Tc 2.399 2.399 0.000
Te 2.399 2.399 2.399


4.
5
Lattice="4.833 0.000 0.000 0.000 4.833 0.000 0.000 0.000 4.833" Properties=species:S:1:pos:R:3 comment="Al3TcTe, relaxed, DFT PBE-GGA" polymorph_energy_mev_per_atom=0.0 m_tot_mub_per_fu=0.000 energy_ev_per_cell=-22.95 mass_density_g_cm3=4.51 space_group="Pm-3m (221)" e_form_raw_ev_per_fu=1.79 pbc="T T T"
Al 0.000 0.000 2.416
Al 0.000 2.416 0.000
Al 2.416 0.000 0.000
Tc 0.000 0.000 0.000
Te 2.416 2.416 2.416


5.
6
Lattice="0.000 3.721 3.721 3.721 0.000 3.721 3.721 3.721 0.000" Properties=species:S:1:pos:R:3 comment="Al4TcTe, relaxed, DFT PBE-GGA" m_tot_mub_per_fu=0.000 energy_ev_per_cell=-26.86 mass_density_g_cm3=5.38 space_group="F-43m (216)" e_form_raw_ev_per_fu=1.62 pbc="T T T"
Al 0.923 0.923 0.923
Al 2.798 2.798 0.923
Al 2.798 0.923 2.798
Al 0.923 2.798 2.798
Tc 5.581 5.581 5.581
Te 3.721 3.721 3.721


6.
6
Lattice="0.000 4.466 4.466 4.466 0.000 4.466 4.466 4.466 0.000" Properties=species:S:1:pos:R:3 comment="AlTcTe4, relaxed, DFT PBE-GGA" m_tot_mub_per_fu=4.623 energy_ev_per_cell=-20.31 mass_density_g_cm3=5.92 space_group="F-43m (216)" e_form_raw_ev_per_fu=6.37 pbc="T T T"
Al 0.000 0.000 0.000
Tc 6.699 6.699 6.699
Te 3.353 3.353 3.353
Te 5.579 5.579 3.353
Te 5.579 3.353 5.579
Te 3.353 5.579 5.579